[1]
Computed, not measured: crystalline YOsRu3 at its relaxed geometry at the PBE level of DFT.

a b c (Å): 4.672 4.672 4.672
angles (deg): 90.00 90.00 90.00
Atoms (fractional coordinates):
Y 0.000 0.000 0.000
Ru 0.500 0.000 0.000
Ru 0.000 0.500 0.000
Os 0.500 0.500 0.500
Ru 0.000 0.000 0.500

Summary:
Formation energy from the elements ... 2675 meV/atom
Crystal system ... cubic

[2]
Computed, not measured: crystalline La2PbS4 at its relaxed geometry at the PBE level of DFT.

a b c (Å): 5.320 5.320 8.202
angles (deg): 71.07 71.07 90.00
Atoms (fractional coordinates):
La 0.372 0.372 0.256
S 0.195 0.195 0.610
La 0.628 0.628 0.744
S 0.500 0.000 0.000
S 0.000 0.500 0.000
S 0.805 0.805 0.390
Pb 0.000 0.000 0.000

Summary:
Crystal system ... tetragonal
VASP energy ... -38.58 eV/cell

What did the first record say?
Computed, not measured: crystalline YOsRu3 at its relaxed geometry at the PBE level of DFT.

a b c (Å): 4.672 4.672 4.672
angles (deg): 90.00 90.00 90.00
Atoms (fractional coordinates):
Y 0.000 0.000 0.000
Ru 0.500 0.000 0.000
Ru 0.000 0.500 0.000
Os 0.500 0.500 0.500
Ru 0.000 0.000 0.500

Summary:
Formation energy from the elements ... 2675 meV/atom
Crystal system ... cubic